4
Lattice="5.102 0.000 0.000 0.000 5.102 0.000 0.000 0.000 3.633" Properties=species:S:1:pos:R:3 comment="CePuSe2 (PBE, optimized geometry)" space_group=P4/mmm formation_energy_uncorrected_ev_per_atom=-1.462 polymorph_energy_mev_per_atom=212 pbc="T T T"
Ce 0.000 0.000 0.000
Pu 2.551 2.551 0.000
Se 0.000 2.551 1.816
Se 2.551 0.000 1.816

10
Lattice="6.285 0.000 0.000 0.000 6.285 0.000 0.000 0.000 4.389" Properties=species:S:1:pos:R:3 comment="Zn2As2Ru (PBE, optimized geometry)" space_group=P4/mbm polymorph_energy_mev_per_atom=0 e_form_ev_per_atom=0.1120 pbc="T T T"
Zn 1.149 1.993 0.000
Zn 1.993 5.136 0.000
Zn 4.292 1.149 0.000
Zn 5.136 4.292 0.000
As 0.889 4.031 2.195
As 2.254 0.889 2.195
As 4.031 5.396 2.195
As 5.396 2.254 2.195
Ru 0.000 0.000 2.195
Ru 3.143 3.143 2.195